Entry 1:
5
Lattice="5.123 0.000 0.000 0.000 5.123 0.000 0.000 0.000 5.123" Properties=species:S:1:pos:R:3 comment="PBE YHPd3, optimized geometry" polymorph_energy_kj_per_mol_fu=896 pbc="T T T"
Y 0.000 0.000 0.000
H 2.562 2.562 2.562
Pd 0.000 0.000 2.562
Pd 0.000 2.562 0.000
Pd 2.562 0.000 0.000

=====

Entry 2:
Crystalline Y2ZnHPd6 at its relaxed geometry. Source: the Alexandria database, functional PBE.

```
10
Lattice="5.697 0.000 0.000 2.836 4.958 0.000 2.807 1.674 5.958" Properties=species:S:1:pos:R:3 pbc="T T T"
Y 2.844 1.675 1.932
Y 8.496 4.957 4.026
Zn 5.670 3.316 2.979
H 0.000 0.000 0.000
Pd 5.641 4.958 4.850
Pd 4.217 2.471 4.805
Pd 4.255 4.163 1.135
Pd 7.085 2.469 4.823
Pd 7.122 4.161 1.153
Pd 5.699 1.674 1.108
```

=====

Entry 3:
Crystalline YZr2HPd at its relaxed geometry. Source: the Alexandria database, functional PBE.

```
5
Lattice="4.277 0.000 0.000 0.000 4.277 0.000 0.000 0.000 5.005" Properties=species:S:1:pos:R:3 pbc="T T T"
Y 0.000 0.000 0.000
Zr 0.000 2.139 2.502
Zr 2.139 0.000 2.502
H 0.000 0.000 2.502
Pd 2.139 2.139 0.000
```

=====

Entry 4:
Crystalline Y2ZrHPd at its relaxed geometry. Source: the Alexandria database, functional PBE.

```
5
Lattice="4.917 0.000 0.000 0.000 4.917 0.000 0.000 0.000 4.085" Properties=species:S:1:pos:R:3 pbc="T T T"
Y 0.000 2.459 0.000
Y 2.459 0.000 0.000
Zr 0.000 0.000 2.043
H 0.000 0.000 0.000
Pd 2.459 2.459 2.043
```

=====

| no. | calculated volume (A^3/atom) | total DFT energy (no corrections) (eV/atom) |
| --- | --- | --- |
| 1 | 26.89 | -3.96 |
| 2 | 16.83 | -5.53 |
| 3 | 18.31 | -6.70 |
| 4 | 19.76 | -6.29 |